CSeBr2 after structural relaxation, computed with PBE.

Cell lengths 11.5090, 11.5090, 11.5090 Å; angles 16.48, 16.48, 16.48 degrees
Positions (direct):
Se  0.0000  0.0000  0.0000
Br  0.1241  0.1241  0.1241
Br  0.8759  0.8759  0.8759
C  0.5000  0.5000  0.5000

Values from the calculation:
**N(E_F)**: 2.5 states/eV per cell
**M_tot**: 0.41 μB per cell
**SG**: R-3m, No. 166
**Uncorrected formation energy**: 1.444 eV/atom

Sm6C2Se3Br after structural relaxation, computed with PBE.

Cell lengths 3.9376, 8.3018, 9.0416 Å; angles 102.50, 102.58, 90.00 degrees
Positions (direct):
Se  0.5000  0.5000  0.0000
Se  0.1566  0.8382  0.3132
Se  0.8434  0.1618  0.6868
Sm  0.3228  0.4381  0.6457
Sm  0.0267  0.2786  0.0533
Sm  0.6772  0.5619  0.3543
Sm  0.6783  0.1369  0.3566
Sm  0.9733  0.7214  0.9467
Sm  0.3217  0.8631  0.6434
Br  0.5000  0.0000  0.0000
C  0.1709  0.3362  0.3418
C  0.8291  0.6639  0.6582

Values from the calculation:
**N(E_F)**: 2.9 states/eV per cell
**M_tot**: 0.00 μB per cell
**SG**: C2/m, No. 12
**Uncorrected formation energy**: -1.243 eV/atom

SnCSeBr2 after structural relaxation, computed with PBE.

Cell lengths 5.4756, 5.4756, 5.4909 Å; angles 90.00, 90.00, 90.00 degrees
Positions (direct):
Br  0.0000  0.5000  0.0000
Br  0.5000  0.0000  0.0000
Se  0.0000  0.0000  0.5000
Sn  0.0000  0.0000  0.0000
C  0.5000  0.5000  0.5000

Values from the calculation:
**N(E_F)**: 6.6 states/eV per cell
**M_tot**: 1.03 μB per cell
**SG**: P4/mmm, No. 123
**Uncorrected formation energy**: 1.360 eV/atom

SnCSeBr2 after structural relaxation, computed with PBE.

Cell lengths 4.8583, 4.8583, 4.5722 Å; angles 90.00, 90.00, 90.00 degrees
Positions (direct):
Se  0.0000  0.0000  0.5000
C  0.0000  0.0000  0.0000
Sn  0.5000  0.5000  0.5000
Br  0.0000  0.5000  0.0000
Br  0.5000  0.0000  0.0000

Values from the calculation:
**N(E_F)**: 1.4 states/eV per cell
**M_tot**: 0.00 μB per cell
**SG**: P4/mmm, No. 123
**Uncorrected formation energy**: 0.781 eV/atom

SrCSeBr2 after structural relaxation, computed with PBE.

Cell lengths 4.9964, 4.9964, 4.5740 Å; angles 90.00, 90.00, 90.00 degrees
Positions (direct):
Sr  0.5000  0.5000  0.5000
C  0.0000  0.0000  0.0000
Br  0.5000  0.0000  0.0000
Br  0.0000  0.5000  0.0000
Se  0.0000  0.0000  0.5000

Values from the calculation:
**N(E_F)**: 1.7 states/eV per cell
**M_tot**: 0.00 μB per cell
**SG**: P4/mmm, No. 123
**Uncorrected formation energy**: -0.017 eV/atom

SrCSeBr2 after structural relaxation, computed with PBE.

Cell lengths 5.9001, 5.9001, 6.1698 Å; angles 90.00, 90.00, 90.00 degrees
Positions (direct):
Br  0.0000  0.5000  0.0000
Br  0.5000  0.0000  0.0000
Se  0.0000  0.0000  0.5000
C  0.5000  0.5000  0.5000
Sr  0.0000  0.0000  0.0000

Values from the calculation:
**N(E_F)**: 15.8 states/eV per cell
**M_tot**: 2.12 μB per cell
**SG**: P4/mmm, No. 123
**Uncorrected formation energy**: 0.898 eV/atom

Tb6C2SeBr3 after structural relaxation, computed with PBE.

Cell lengths 6.6913, 6.6913, 7.4370 Å; angles 98.63, 98.63, 120.01 degrees
Positions (direct):
C  0.3333  0.6667  0.0000
C  0.6667  0.3333  0.0000
Tb  0.3022  0.3022  0.8161
Tb  0.6978  0.6978  0.1839
Tb  0.9386  0.5747  0.8157
Tb  0.5747  0.9386  0.8157
Tb  0.0614  0.4253  0.1843
Tb  0.4253  0.0614  0.1843
Se  0.0000  0.0000  0.0000
Br  0.5000  0.5000  0.5000
Br  0.8363  0.1637  0.5000
Br  0.1637  0.8363  0.5000

Values from the calculation:
**N(E_F)**: 3.4 states/eV per cell
**M_tot**: 0.00 μB per cell
**SG**: C2/m, No. 12
**Uncorrected formation energy**: -1.097 eV/atom

TcCSe2Br after structural relaxation, computed with PBE.

Cell lengths 4.7549, 4.7549, 5.3998 Å; angles 90.00, 90.00, 90.00 degrees
Positions (direct):
Se  0.5000  0.0000  0.0000
Se  0.0000  0.5000  0.0000
Br  0.0000  0.0000  0.5000
C  0.5000  0.5000  0.5000
Tc  0.0000  0.0000  0.0000

Values from the calculation:
**N(E_F)**: 6.5 states/eV per cell
**M_tot**: 1.71 μB per cell
**SG**: P4/mmm, No. 123
**Uncorrected formation energy**: 1.577 eV/atom

TcCSe2Br after structural relaxation, computed with PBE.

Cell lengths 4.3069, 4.3069, 4.4391 Å; angles 90.00, 90.00, 90.00 degrees
Positions (direct):
C  0.0000  0.0000  0.0000
Tc  0.5000  0.5000  0.5000
Se  0.5000  0.0000  0.0000
Se  0.0000  0.5000  0.0000
Br  0.0000  0.0000  0.5000

Values from the calculation:
**N(E_F)**: 4.0 states/eV per cell
**M_tot**: 0.00 μB per cell
**SG**: P4/mmm, No. 123
**Uncorrected formation energy**: 1.562 eV/atom

TiCSeBr2 after structural relaxation, computed with PBE.

Cell lengths 5.0987, 5.0987, 4.9475 Å; angles 90.00, 90.00, 90.00 degrees
Positions (direct):
Ti  0.0000  0.0000  0.0000
Br  0.5000  0.0000  0.0000
Br  0.0000  0.5000  0.0000
C  0.5000  0.5000  0.5000
Se  0.0000  0.0000  0.5000

Values from the calculation:
**N(E_F)**: 6.4 states/eV per cell
**M_tot**: 2.00 μB per cell
**SG**: P4/mmm, No. 123
**Uncorrected formation energy**: 0.850 eV/atom

TiCSeBr2 after structural relaxation, computed with PBE.

Cell lengths 4.5672, 4.5672, 4.4779 Å; angles 90.00, 90.00, 90.00 degrees
Positions (direct):
C  0.0000  0.0000  0.0000
Ti  0.5000  0.5000  0.5000
Se  0.0000  0.0000  0.5000
Br  0.0000  0.5000  0.0000
Br  0.5000  0.0000  0.0000

Values from the calculation:
**N(E_F)**: 8.3 states/eV per cell
**M_tot**: 0.00 μB per cell
**SG**: P4/mmm, No. 123
**Uncorrected formation energy**: 1.044 eV/atom

TiCSe2Br after structural relaxation, computed with PBE.

Cell lengths 4.9181, 4.9181, 5.1239 Å; angles 90.00, 90.00, 90.00 degrees
Positions (direct):
Br  0.0000  0.0000  0.5000
Se  0.5000  0.0000  0.0000
Se  0.0000  0.5000  0.0000
C  0.5000  0.5000  0.5000
Ti  0.0000  0.0000  0.0000

Values from the calculation:
**N(E_F)**: 5.6 states/eV per cell
**M_tot**: 1.52 μB per cell
**SG**: P4/mmm, No. 123
**Uncorrected formation energy**: 0.969 eV/atom